Entry 1:
Compound: Be2CdOs
Source: Alexandria via LeMat-Bulk
Functional: PBE
Structure: optimized geometry

It has space group Pm (No. 6), with a = 3.0846 Å, b = 3.6056 Å, c = 4.7330 Å, α = 90.00°, β = 108.88° and γ = 90.00°. The inequivalent atoms are Be at (0.0000, 0.0000, 0.0000), Be at (0.1410, 0.5000, 0.2781), Cd at (0.7346, 0.0000, 0.4681) and Os at (0.4482, 0.5000, 0.8912).

The raw total energy is -18.81 eV/cell. As for the magnetization: 0.000 μB per formula unit.



Entry 2:
Compound: Nd3Tm2Ag3
Source: Alexandria via LeMat-Bulk
Functional: PBE
Structure: optimized geometry

It has space group Immm (No. 71), with a = 3.6824 Å, b = 5.4133 Å, c = 22.0002 Å, α = 90.00°, β = 90.00° and γ = 90.00°. The inequivalent atoms are Nd at (0.0000, 0.0000, 0.0000), Nd at (0.0000, 0.5000, 0.1226), Tm at (0.0000, 0.0000, 0.2328), Ag at (0.0000, 0.0000, 0.5000) and Ag at (0.0000, 0.5000, 0.3766).

The raw total energy is -66.72 eV/cell. As for the magnetization: 0.000 μB per formula unit.



Entry 3:
Compound: CePmY5
Source: Alexandria via LeMat-Bulk
Functional: PBE
Structure: optimized geometry

It has space group C2/c (No. 15), with a = 10.8754 Å, b = 6.5910 Å, c = 13.1793 Å, α = 90.00°, β = 95.15° and γ = 90.00°. The inequivalent atoms are Ce at (0.0000, 0.0000, 0.0000), Pm at (0.0000, 0.2464, 0.2500), Y at (0.0000, 0.2388, 0.7500), Y at (0.1652, 0.4960, 0.5743) and Y at (0.2482, 0.0036, 0.1642).

The raw total energy is -165.87 eV/cell. As for the magnetization: 1.591 μB per formula unit.



Entry 4:
Compound: CsC8
Source: Alexandria via LeMat-Bulk
Functional: PBE
Structure: optimized geometry

It has space group P6/mmm (No. 191), with a = 4.9828 Å, b = 4.9828 Å, c = 6.0324 Å, α = 90.00°, β = 90.00° and γ = 120.00°. The inequivalent atoms are Cs at (0.0000, 0.0000, 0.0000), C at (0.1667, 0.3334, 0.5000) and C at (0.3333, 0.6667, 0.5000).

As for the magnetization: 0.000 μB per formula unit. The calculation puts the polymorph energy (0 for the lowest one) at 0.00 eV/f.u.



Entry 5:
Compound: RbGeAu
Source: Alexandria via LeMat-Bulk
Functional: PBE
Structure: optimized geometry

It has space group P-6m2 (No. 187), with a = 4.3877 Å, b = 4.3877 Å, c = 5.6858 Å, α = 90.00°, β = 90.00° and γ = 120.00°. The inequivalent atoms are Rb at (0.0000, 0.0000, 0.0000), Ge at (0.3333, 0.6667, 0.5000) and Au at (0.6667, 0.3333, 0.5000).

As for the magnetization: 0.001 μB per formula unit. The calculation puts the polymorph energy (0 for the lowest one) at 0.27 eV/f.u.



Entry 6:
Compound: TlHg3
Source: Alexandria via LeMat-Bulk
Functional: PBE
Structure: optimized geometry

It has space group C2/m (No. 12), with a = 11.2275 Å, b = 4.0651 Å, c = 5.2379 Å, α = 90.00°, β = 107.66° and γ = 90.00°. The inequivalent atoms are Tl at (0.0000, 0.0000, 0.0000), Hg at (0.0000, 0.5000, 0.5000) and Hg at (0.2468, 0.0000, 0.7436).

The raw total energy is -6.75 eV/cell. As for the magnetization: 0.000 μB per formula unit.



Entry 7:
Compound: TiHg2Mo
Source: Alexandria via LeMat-Bulk
Functional: PBE
Structure: optimized geometry

It has space group I-42d (No. 122), with a = 3.9541 Å, b = 3.9541 Å, c = 20.6097 Å, α = 90.00°, β = 90.00° and γ = 90.00°. The inequivalent atoms are Ti at (0.0000, 0.0000, 0.0000), Hg at (0.2467, 0.2500, 0.6250) and Mo at (0.0000, 0.0000, 0.5000).

As for the magnetization: 0.000 μB per formula unit. The calculation puts the polymorph energy (0 for the lowest one) at 0.74 eV/f.u.



Entry 8:
Compound: DyZnGa4
Source: Alexandria via LeMat-Bulk
Functional: PBE
Structure: optimized geometry

It has space group F-43m (No. 216), with a = 7.7531 Å, b = 7.7531 Å, c = 7.7531 Å, α = 90.00°, β = 90.00° and γ = 90.00°. The inequivalent atoms are Dy at (0.0000, 0.0000, 0.0000), Zn at (0.2500, 0.2500, 0.7500) and Ga at (0.1250, 0.1250, 0.3750).

As for the magnetization: 0.000 μB per formula unit. The calculation puts the polymorph energy (0 for the lowest one) at 0.89 eV/f.u.



Entry 9:
Compound: Ac4In16Ni3
Source: Alexandria via LeMat-Bulk
Functional: PBE
Structure: optimized geometry

It has space group P4/mmm (No. 123), with a = 6.8667 Å, b = 6.8667 Å, c = 12.7044 Å, α = 90.00°, β = 90.00° and γ = 90.00°. The inequivalent atoms are Ac at (0.0000, 0.5000, 0.1965), In at (0.0000, 0.0000, 0.1968), In at (0.2263, 0.2263, 0.0000), In at (0.2476, 0.2476, 0.3859), In at (0.5000, 0.5000, 0.2159), Ni at (0.0000, 0.5000, 0.5000) and Ni at (0.5000, 0.5000, 0.0000).

The raw total energy is -84.54 eV/cell. As for the magnetization: 0.000 μB per formula unit.



Entry 10:
Compound: Sc2RhO
Source: Alexandria via LeMat-Bulk
Functional: PBE
Structure: optimized geometry

It has space group R-3m (No. 166, hexagonal axes), with a = 3.1671 Å, b = 3.1671 Å, c = 20.2019 Å, α = 90.00°, β = 90.00° and γ = 120.00°. The inequivalent atoms are Sc at (0.0000, 0.0000, 0.2344), Rh at (0.0000, 0.0000, 0.0000) and O at (0.0000, 0.0000, 0.5000).

The formation energy without anion corrections comes out at -1.782 eV per atom. As for the magnetization: 0.000 μB per formula unit.



Entry 11:
Compound: Tb2Pm4Y5
Source: Alexandria via LeMat-Bulk
Functional: PBE
Structure: optimized geometry

It has space group C2/m (No. 12), with a = 19.2517 Å, b = 5.6834 Å, c = 6.6710 Å, α = 90.00°, β = 90.71° and γ = 90.00°. The inequivalent atoms are Tb at (0.0972, 0.0000, 0.0509), Pm at (0.0207, 0.5000, 0.7875), Pm at (0.1946, 0.0000, 0.5726), Y at (0.0000, 0.0000, 0.5000), Y at (0.1304, 0.5000, 0.3892) and Y at (0.2089, 0.5000, 0.8991).

As for the magnetization: 0.000 μB per formula unit. The calculation puts the polymorph energy (0 for the lowest one) at 0.00 eV/f.u.



Entry 12:
Compound: ScAlW2
Source: Alexandria via LeMat-Bulk
Functional: PBE
Structure: optimized geometry

It has space group P4/mmm (No. 123), with a = 3.4011 Å, b = 3.4011 Å, c = 6.0441 Å, α = 90.00°, β = 90.00° and γ = 90.00°. The inequivalent atoms are Sc at (0.0000, 0.0000, 0.0000), Al at (0.0000, 0.0000, 0.5000) and W at (0.5000, 0.5000, 0.2982).

The raw total energy is -35.38 eV/cell. As for the magnetization: 0.000 μB per formula unit.